Record 1
Here is an optimized crystal structure of KTl2Ru from Alexandria. Energies are from PBE-GGA.

Results
The value obtained for the size of the total moment is 0.21 μB/f.u. The raw total energy comes out at -3.341 eV per atom. The value obtained for the calculated density is 8.769 Mg/m³. For the volume, the calculation gives 26.0 Å³/atom.

Lattice parameters (Å, degrees): 3.457 3.457 30.130 90.00 90.00 120.00
Fractional positions:
K 0.000 0.000 0.000
K 0.333 0.667 0.667
K 0.667 0.333 0.333
Tl 0.000 0.000 0.233
Tl 0.000 0.000 0.767
Tl 0.333 0.667 0.433
Tl 0.333 0.667 0.900
Tl 0.667 0.333 0.100
Tl 0.667 0.333 0.567
Ru 0.000 0.000 0.500
Ru 0.333 0.667 0.167
Ru 0.667 0.333 0.833

=====

Record 2
Here is an optimized crystal structure of Ba3Ca2Mg2In4 from Alexandria. Energies are from PBE-GGA.

Results
The value obtained for the size of the total moment is 0.85 μB/f.u. The raw total energy comes out at -2.410 eV per atom. The value obtained for the calculated density is 4.108 Mg/m³. For the volume, the calculation gives 36.7 Å³/atom.

Lattice parameters (Å, degrees): 5.496 5.496 15.452 90.00 90.00 120.00
Fractional positions:
Ba 0.000 0.000 0.000
Ba 0.000 0.000 0.265
Ba 0.000 0.000 0.735
Ca 0.333 0.667 0.571
Ca 0.667 0.333 0.429
Mg 0.333 0.667 0.152
Mg 0.667 0.333 0.848
In 0.333 0.667 0.358
In 0.333 0.667 0.860
In 0.667 0.333 0.140
In 0.667 0.333 0.642